BaTaB2S8 | PBE | relaxed

a b c (Å): 5.917 5.917 8.068
angles (deg): 90.00 90.00 120.00
Fractional positions:
Ba1 0.000 0.000 0.000
Ta1 0.000 0.000 0.500
B1 0.333 0.667 0.724
B2 0.667 0.333 0.276
S1 0.016 0.358 0.660
S2 0.333 0.667 0.959
S3 0.341 0.984 0.660
S4 0.358 0.341 0.340
S5 0.642 0.659 0.660
S6 0.659 0.016 0.340
S7 0.667 0.333 0.041
S8 0.984 0.642 0.340

=====

BaTb3B4S12 | PBE | relaxed

a b c (Å): 8.174 8.174 8.174
angles (deg): 102.14 102.14 102.14
Fractional positions:
Ba1 0.000 0.000 0.000
Tb1 0.000 0.538 0.462
Tb2 0.462 0.000 0.538
Tb3 0.538 0.462 0.000
B1 0.042 0.500 0.958
B2 0.500 0.500 0.500
B3 0.500 0.958 0.042
B4 0.958 0.042 0.500
S1 0.017 0.626 0.802
S2 0.102 0.898 0.500
S3 0.198 0.374 0.983
S4 0.357 0.643 0.500
S5 0.374 0.983 0.198
S6 0.500 0.102 0.898
S7 0.500 0.357 0.643
S8 0.626 0.802 0.017
S9 0.643 0.500 0.357
S10 0.802 0.017 0.626
S11 0.898 0.500 0.102
S12 0.983 0.198 0.374

=====

BaB2Te2S6 | PBE | relaxed

a b c (Å): 5.022 5.555 13.164
angles (deg): 84.06 85.74 65.27
Fractional positions:
Ba1 0.000 0.000 0.000
B1 0.435 0.194 0.207
B2 0.565 0.806 0.793
Te1 0.300 0.049 0.590
Te2 0.700 0.951 0.410
S1 0.300 0.151 0.774
S2 0.311 0.343 0.084
S3 0.338 0.360 0.327
S4 0.662 0.640 0.673
S5 0.689 0.657 0.916
S6 0.700 0.849 0.226

=====

Ba2TlB2S6 | PBE | relaxed

a b c (Å): 6.657 6.749 7.604
angles (deg): 102.55 90.17 119.50
Fractional positions:
Ba1 0.171 0.341 0.218
Ba2 0.829 0.659 0.782
Tl1 0.500 0.000 0.500
B1 0.152 0.303 0.739
B2 0.848 0.697 0.261
S1 0.141 0.825 0.198
S2 0.282 0.562 0.651
S3 0.317 0.174 0.803
S4 0.683 0.826 0.197
S5 0.718 0.438 0.349
S6 0.859 0.175 0.802

=====

BaTm3B4S12 | PBE | relaxed

a b c (Å): 8.092 8.092 8.092
angles (deg): 102.40 102.40 102.40
Fractional positions:
Ba1 0.000 0.000 0.000
Tm1 0.000 0.542 0.458
Tm2 0.458 0.000 0.542
Tm3 0.542 0.458 0.000
B1 0.045 0.500 0.955
B2 0.500 0.500 0.500
B3 0.500 0.955 0.045
B4 0.955 0.045 0.500
S1 0.016 0.624 0.796
S2 0.101 0.899 0.500
S3 0.204 0.376 0.984
S4 0.356 0.644 0.500
S5 0.376 0.984 0.204
S6 0.500 0.101 0.899
S7 0.500 0.356 0.644
S8 0.624 0.796 0.016
S9 0.644 0.500 0.356
S10 0.796 0.016 0.624
S11 0.899 0.500 0.101
S12 0.984 0.204 0.376

=====

BaTmBS4 | PBE | relaxed

a b c (Å): 6.119 6.418 8.331
angles (deg): 90.00 108.21 90.00
Fractional positions:
Ba1 0.221 0.250 0.427
Ba2 0.779 0.750 0.573
Tm1 0.271 0.250 0.949
Tm2 0.729 0.750 0.051
B1 0.288 0.750 0.179
B2 0.712 0.250 0.821
S1 0.100 0.750 0.945
S2 0.103 0.750 0.334
S3 0.490 0.510 0.219
S4 0.490 0.990 0.219
S5 0.510 0.010 0.781
S6 0.510 0.490 0.781
S7 0.897 0.250 0.666
S8 0.900 0.250 0.055

=====

BaUBS6 | PBE | relaxed

a b c (Å): 5.492 6.295 6.913
angles (deg): 95.86 91.01 108.84
Fractional positions:
Ba1 0.000 0.000 0.000
U1 0.577 0.464 0.521
B1 0.366 0.949 0.492
S1 0.102 0.699 0.337
S2 0.170 0.136 0.588
S3 0.322 0.518 0.197
S4 0.509 0.834 0.695
S5 0.600 0.106 0.306
S6 0.813 0.465 0.824

=====

BaBWS6 | PBE | relaxed

a b c (Å): 5.655 6.160 6.626
angles (deg): 92.36 98.63 116.43
Fractional positions:
Ba1 0.000 0.000 0.000
B1 0.333 0.820 0.429
W1 0.641 0.406 0.465
S1 0.022 0.558 0.256
S2 0.270 0.068 0.564
S3 0.495 0.675 0.622
S4 0.506 0.531 0.161
S5 0.566 0.029 0.264
S6 0.959 0.505 0.742

=====

| no. | uncorrected formation energy (meV/atom) |
| --- | --- |
| 1 | -534 |
| 2 | -1078 |
| 3 | -541 |
| 4 | -1021 |
| 5 | -1075 |
| 6 | -1519 |
| 7 | -986 |
| 8 | -677 |